1.
LaGdCl3: relaxed, GGA-PBE.

Properties
- final energy (eV/atom) = -4.88

Cell: 8.1068 8.1068 10.4267 Å, 117.02 117.02 28.73°
Fractional positions:
1 La 0.0920 0.0920 0.4447
2 La 0.9080 0.9080 0.5553
3 Gd 0.3586 0.3586 0.2019
4 Gd 0.6414 0.6414 0.7981
5 Cl 0.1610 0.1610 0.0057
6 Cl 0.2668 0.2668 0.3712
7 Cl 0.4621 0.4621 0.7788
8 Cl 0.5379 0.5379 0.2212
9 Cl 0.7332 0.7332 0.6288
10 Cl 0.8390 0.8390 0.9943



2.
Nb4TlAsC2: relaxed, GGA-PBE.

Properties
- final energy (eV/atom) = -8.68

Cell: 3.2851 3.2851 13.2919 Å, 90.00 90.00 120.00°
Fractional positions:
1 Nb 0.0000 0.0000 0.1416
2 Nb 0.0000 0.0000 0.8584
3 Nb 0.6667 0.3333 0.3162
4 Nb 0.6667 0.3333 0.6838
5 Tl 0.0000 0.0000 0.5000
6 As 0.6667 0.3333 0.0000
7 C 0.3333 0.6667 0.2327
8 C 0.3333 0.6667 0.7673



3.
Co3B: relaxed, GGA-PBE.

Properties
- final energy (eV/atom) = -6.68

Cell: 3.7682 3.7682 3.7682 Å, 60.00 60.00 60.00°
Fractional positions:
1 Co 0.0000 0.0000 0.0000
2 Co 0.2500 0.2500 0.2500
3 Co 0.7500 0.7500 0.7500
4 B 0.5000 0.5000 0.5000



M_tot in μB/atom, matching the order above: 0.0028 0.0011 0.0031